Entry 1:
Material: SmEr2Pd
Method: DFT, PBE
State: relaxed

```
12
Lattice="3.824 0.000 0.000 -1.912 3.312 0.000 0.000 0.000 27.524" Properties=species:S:1:pos:R:3 pbc="T T T"
Sm 0.000 0.000 0.000
Sm 0.000 2.208 18.350
Sm 1.912 1.104 9.175
Er 0.000 0.000 15.436
Er 0.000 0.000 21.160
Er 0.000 2.208 6.261
Er 0.000 2.208 11.986
Er 1.912 1.104 2.811
Er 1.912 1.104 24.611
Pd 0.000 0.000 4.523
Pd 0.000 2.208 22.873
Pd 1.912 1.104 13.698
```

=====

Entry 2:
Material: Pr4Ga2Ge5
Method: DFT, PBE
State: relaxed

```
11
Lattice="7.139 0.000 0.000 0.000 4.398 0.000 -0.098 0.000 8.305" Properties=species:S:1:pos:R:3 pbc="T T T"
Pr 1.666 0.000 1.074
Pr 1.743 0.000 5.178
Pr 5.298 0.000 3.126
Pr 5.375 0.000 7.231
Ga 0.603 2.199 3.103
Ga 6.437 2.199 5.202
Ge 0.729 2.199 7.305
Ge 3.130 2.199 2.879
Ge 3.569 2.199 0.000
Ge 3.911 2.199 5.425
Ge 6.312 2.199 0.999
```

=====

Entry 3:
Material: CeTiC
Method: DFT, PBE
State: relaxed

```
3
Lattice="3.232 0.000 0.000 -1.616 2.799 0.000 0.000 0.000 5.895" Properties=species:S:1:pos:R:3 pbc="T T T"
Ce 0.000 0.000 0.000
Ti 0.000 1.866 2.623
C 1.616 0.933 1.680
```

=====

no.,formation energy (meV per atom),final energy (Ry per atom)
1,-320,-0.37332
2,-736,-0.37657
3,-253,-0.58337